Entry 1:
## V2PbF (PBE with a Hubbard U)

Data for a geometry-optimized V2PbF structure.

Calculated values
E: -5.099 eV/atom
Relative energy among the computed polymorphs: 0.0000 eV per atom
Volume: 23.0 A^3/atom
Total moment: 1.678 μB per atom
Symmetry: I-42d (122)

The structure in extended XYZ format:
```
8
Lattice="-2.6995 2.6995 6.3202 2.6995 -2.6995 6.3202 2.6995 2.6995 -6.3202" Properties=species:S:1:pos:R:3 pbc="T T T"
V 0.2808 1.3497 1.5800
V -1.3497 2.4187 4.7401
V -0.2808 4.0492 1.5800
V 1.3497 2.9803 4.7401
Pb 2.6995 0.0000 3.1601
Pb 0.0000 0.0000 6.3202
F 0.0000 0.0000 0.0000
F 0.0000 2.6995 3.1601
```


Entry 2:
## VPbF4 (PBE with a Hubbard U)

Data for a geometry-optimized VPbF4 structure.

Calculated values
E: -5.605 eV/atom
Volume: 15.8 A^3/atom
Total moment: 0.500 μB per atom
Symmetry: C2/c (15)

The structure in extended XYZ format:
```
12
Lattice="3.7636 -5.8015 0.0000 3.7636 5.8015 0.0000 -3.3241 0.0000 4.3522" Properties=species:S:1:pos:R:3 pbc="T T T"
V 1.2706 4.8709 3.2641
V 2.9326 -4.8709 1.0880
Pb 2.9326 1.6675 1.0880
Pb 1.2706 -1.6675 3.2641
F -0.1871 3.3815 3.6754
F -0.8187 0.4429 3.1733
F 0.8433 -0.4429 0.9972
F 2.7282 3.3815 2.8529
F 1.4750 -3.3815 1.4993
F 3.3599 0.4429 3.3550
F 5.0220 -0.4429 1.1789
F 4.3903 -3.3815 0.6768
```


Entry 3:
## V3Pb5F19 (PBE with a Hubbard U)

Data for a geometry-optimized V3Pb5F19 structure.

Calculated values
E: -5.445 eV/atom
Volume: 16.1 A^3/atom
Total moment: 0.222 μB per atom
Symmetry: I4cm (108)

The structure in extended XYZ format:
```
54
Lattice="-7.3198 7.3198 4.0466 7.3198 -7.3198 4.0466 7.3198 7.3198 -4.0466" Properties=species:S:1:pos:R:3 pbc="T T T"
V 0.0000 0.0000 0.0000
V 5.0134 -2.3065 1.7890
V 9.6263 2.3065 1.7890
V 0.0000 0.0000 4.0466
V 2.3065 5.0134 1.7890
V -2.3065 9.6263 1.7890
Pb 7.3198 0.0000 0.5678
Pb 11.3607 -1.1163 1.2111
Pb 3.2790 1.1163 1.2111
Pb -1.1163 3.2790 1.2111
Pb 6.2035 4.0408 1.2111
Pb 0.0000 7.3198 0.5678
Pb 3.2790 -1.1163 5.2577
Pb 4.0408 8.4362 1.2111
Pb 1.1163 3.2790 5.2577
Pb 1.1163 11.3607 1.2111
F 4.5840 -0.8138 0.5356
F 9.0823 -1.7625 1.3764
F 12.8403 0.7525 0.0620
F 5.7284 -3.7428 2.9789
F 10.0557 0.8138 0.5356
F 5.7284 3.7428 -1.0677
F 0.7525 1.7994 0.0620
F 6.2802 -1.0396 2.5871
F 0.0000 0.0000 2.0310
F 8.1337 2.7359 0.5356
F 3.5770 -1.5915 2.9789
F 5.5574 1.7625 1.3764
F 10.8927 3.5729 1.0313
F 0.8138 4.5840 0.5356
F 3.5729 3.7470 1.0313
F 8.0723 5.5205 0.0620
F 8.3595 1.0396 2.5871
F 5.5205 6.5674 0.0620
F 3.7428 8.9113 -1.0677
F 2.7359 6.5060 0.5356
F -1.7625 5.5574 1.3764
F 1.7994 0.7525 4.1086
F 1.5915 3.5770 2.9789
F 4.5840 0.8138 4.5822
F 8.9113 3.7428 2.9789
F -0.7525 1.7994 4.1086
F 1.0396 6.2802 2.5871
F 0.0000 0.0000 6.0776
F -0.8138 10.0557 0.5356
F 3.7428 5.7284 2.9789
F 1.7625 9.0823 1.3764
F 3.7470 3.5729 5.0779
F -0.8138 4.5840 4.5822
F -3.5729 3.7470 5.0779
F 6.5674 5.5205 4.1086
F -1.0396 8.3595 2.5871
F -5.5205 6.5674 4.1086
F -3.7428 8.9113 2.9789
```


Entry 4:
## V2PbF8 (PBE with a Hubbard U)

Data for a geometry-optimized V2PbF8 structure.

Calculated values
E: -5.683 eV/atom
Volume: 16.2 A^3/atom
Total moment: 0.364 μB per atom
Symmetry: P-3 (147)

The structure in extended XYZ format:
```
11
Lattice="7.1177 0.0000 0.0000 -3.5588 6.1641 0.0000 0.0000 0.0000 4.0598" Properties=species:S:1:pos:R:3 pbc="T T T"
V 0.0000 4.1094 1.1310
V 3.5588 2.0547 2.9289
Pb 0.0000 0.0000 0.0000
F -1.6357 5.0416 1.0908
F 0.0105 2.2268 1.0908
F 0.0000 4.1094 3.1443
F 1.9337 1.1043 2.9690
F 1.6251 5.0598 1.0908
F 3.5588 2.0547 0.9155
F 3.5483 3.9373 2.9690
F 5.1945 1.1225 2.9690
```


Entry 5:
## VPbF6 (PBE with a Hubbard U)

Data for a geometry-optimized VPbF6 structure.

Calculated values
E: -5.382 eV/atom
Volume: 16.8 A^3/atom
Total moment: 0.125 μB per atom
Symmetry: C2/c (15)

The structure in extended XYZ format:
```
16
Lattice="4.6619 -3.1906 0.0000 4.6619 3.1906 0.0000 -0.0112 0.0000 9.0467" Properties=species:S:1:pos:R:3 pbc="T T T"
V 2.3309 1.5953 0.0000
V 2.3254 -1.5953 4.5234
Pb 4.6591 3.1728 2.2617
Pb 4.6535 -3.1728 6.7851
F 3.1965 1.3791 7.3567
F 1.4581 0.1243 4.4099
F 1.4525 -0.1243 8.9333
F 3.7727 0.9271 0.8842
F 6.1105 1.3791 6.2134
F 5.5455 0.9271 3.6392
F 3.7671 -0.9271 5.4075
F 3.2021 -1.3791 2.8333
F 5.5399 -0.9271 8.1626
F 7.8600 0.1243 0.1135
F 7.8545 -0.1243 4.6368
F 6.1161 -1.3791 1.6901
```


Entry 6:
## VPb2F6 (PBE with a Hubbard U)

Data for a geometry-optimized VPb2F6 structure.

Calculated values
E: -5.344 eV/atom
Volume: 18.2 A^3/atom
Total moment: 0.333 μB per atom
Symmetry: P4_2/mnm (136)

The structure in extended XYZ format:
```
18
Lattice="5.4194 0.0000 0.0000 0.0000 5.4194 0.0000 0.0000 0.0000 11.1304" Properties=species:S:1:pos:R:3 pbc="T T T"
V 0.0000 0.0000 0.0000
V 2.7097 2.7097 5.5652
Pb 0.0000 0.0000 3.7301
Pb 0.0000 0.0000 7.4003
Pb 2.7097 2.7097 1.8351
Pb 2.7097 2.7097 9.2954
F 0.9786 0.9786 1.6473
F 0.9786 0.9786 9.4831
F 1.1953 1.1953 5.5652
F 1.5144 3.9050 0.0000
F 1.7311 3.6883 3.9179
F 1.7311 3.6883 7.2125
F 3.6883 1.7311 3.9179
F 3.6883 1.7311 7.2125
F 3.9050 1.5144 0.0000
F 4.2241 4.2241 5.5652
F 4.4407 4.4407 1.6473
F 4.4407 4.4407 9.4831
```